Compound: RbSrHo
Source: OQMD
Functional: PBE
Structure: relaxed

Computed properties:
Symmetry: F-43m (216)
Calculated density in g cm⁻³: 2.9
Polymorph energy (0 for the lowest one) in eV per formula unit: 0.00

Cell: 6.460 6.460 6.460 Å, 60.00 60.00 60.00°
Element x y z (fractional)
Ho  0.000  0.000  0.000
Rb  0.250  0.250  0.250
Sr  0.750  0.750  0.750



Compound: RbSrHo
Source: OQMD
Functional: PBE
Structure: relaxed

Computed properties:
Symmetry: F-43m (216)
Calculated density in g cm⁻³: 3.2
Polymorph energy (0 for the lowest one) in eV per formula unit: 0.33

Cell: 6.267 6.267 6.267 Å, 60.00 60.00 60.00°
Element x y z (fractional)
Ho  0.250  0.250  0.250
Rb  0.000  0.000  0.000
Sr  0.750  0.750  0.750